{
  "formula": "CdNiIrAu2",
  "functional": "PBE",
  "state": "optimized geometry",
  "space_group": "P4/mmm, No. 123",
  "e_form_ev_per_atom": 0.91,
  "cell": [[5.106, 0.000, 0.000], [0.000, 4.470, 0.000], [0.000, 0.000, 5.106]],
  "species": ["Ir", "Au", "Au", "Cd", "Ni"],
  "frac_coords": [[0.000, 0.000, 0.000], [0.500, 0.000, 0.000], [0.000, 0.000, 0.500], [0.500, 0.500, 0.500], [0.000, 0.500, 0.000]]
}

{
  "formula": "Pm12SmTm2",
  "functional": "PBE",
  "state": "optimized geometry",
  "space_group": "P4/nbm, No. 125",
  "e_form_ev_per_atom": 0.32,
  "cell": [[-2.245, -0.656, -6.064], [-5.716, -2.027, 2.336], [-8.347, 24.098, 0.485]],
  "species": ["Pm", "Tm", "Pm", "Pm", "Tm", "Pm", "Pm", "Pm", "Pm", "Pm", "Tm", "Sm", "Pm", "Pm", "Pm", "Pm", "Pm", "Pm", "Pm", "Pm", "Pm", "Sm", "Pm", "Pm", "Pm", "Pm", "Tm", "Pm", "Pm", "Pm"],
  "frac_coords": [[0.332, 0.832, 0.438], [0.500, 0.000, 0.726], [0.500, 0.500, 0.337], [0.832, 0.668, 0.438], [0.000, 0.500, 0.726], [0.182, 0.318, 0.884], [0.000, 0.000, 0.784], [0.318, 0.182, 0.116], [0.682, 0.818, 0.116], [0.000, 0.000, 0.216], [0.000, 0.500, 0.274], [0.000, 0.500, 0.000], [0.500, 0.500, 0.663], [0.832, 0.332, 0.562], [0.500, 0.500, 0.784], [0.332, 0.168, 0.562], [0.000, 0.000, 0.337], [0.668, 0.168, 0.438], [0.182, 0.682, 0.116], [0.682, 0.182, 0.884], [0.818, 0.318, 0.116], [0.500, 0.000, 0.000], [0.168, 0.668, 0.562], [0.668, 0.832, 0.562], [0.500, 0.500, 0.216], [0.168, 0.332, 0.438], [0.500, 0.000, 0.274], [0.000, 0.000, 0.663], [0.818, 0.682, 0.884], [0.318, 0.818, 0.884]]
}

{
  "formula": "TiReP3",
  "functional": "PBE",
  "state": "optimized geometry",
  "space_group": "Pm-3m, No. 221",
  "e_form_ev_per_atom": 1.23,
  "cell": [[4.536, 0.000, 0.000], [0.000, 4.536, 0.000], [0.000, 0.000, 4.536]],
  "species": ["P", "P", "P", "Ti", "Re"],
  "frac_coords": [[0.000, 0.000, 0.500], [0.500, 0.000, 0.000], [0.000, 0.500, 0.000], [0.000, 0.000, 0.000], [0.500, 0.500, 0.500]]
}

{
  "formula": "Sm5Tm4Pu",
  "functional": "PBE",
  "state": "optimized geometry",
  "space_group": "C2/m, No. 12",
  "e_form_ev_per_atom": 0.06,
  "cell": [[3.408, 0.000, -0.839], [-0.506, 11.154, -2.053], [0.288, -1.198, 8.509]],
  "species": ["Tm", "Tm", "Sm", "Sm", "Tm", "Tm", "Sm", "Pu", "Sm", "Sm"],
  "frac_coords": [[0.082, 0.288, 0.163], [0.605, 0.799, 0.209], [0.500, 0.500, 0.000], [0.814, 0.924, 0.627], [0.918, 0.712, 0.837], [0.395, 0.201, 0.791], [0.186, 0.076, 0.373], [0.500, 0.000, 0.000], [0.211, 0.616, 0.422], [0.789, 0.384, 0.578]]
}

{
  "formula": "Hf3Au8",
  "functional": "PBE",
  "state": "optimized geometry",
  "space_group": "R-3, No. 148",
  "e_form_ev_per_atom": -0.09,
  "cell": [[6.324, -1.209, -1.180], [-1.048, 6.352, -1.180], [-1.048, -1.022, 6.380]],
  "species": ["Au", "Au", "Hf", "Au", "Au", "Au", "Au", "Au", "Au", "Hf", "Hf"],
  "frac_coords": [[0.833, 0.325, 0.003], [0.698, 0.698, 0.698], [0.000, 0.500, 0.500], [0.675, 0.997, 0.167], [0.302, 0.302, 0.302], [0.325, 0.003, 0.833], [0.167, 0.675, 0.997], [0.003, 0.833, 0.325], [0.997, 0.167, 0.675], [0.500, 0.500, 0.000], [0.500, 0.000, 0.500]]
}

{
  "formula": "TiCu2Au2",
  "functional": "PBE",
  "state": "optimized geometry",
  "space_group": "P4/mbm, No. 127",
  "e_form_ev_per_atom": -0.05,
  "cell": [[7.346, 0.000, 0.000], [0.000, 7.346, 0.000], [0.000, 0.000, 2.900]],
  "species": ["Cu", "Cu", "Ti", "Cu", "Au", "Au", "Ti", "Au", "Cu", "Au"],
  "frac_coords": [[0.618, 0.118, 0.000], [0.882, 0.618, 0.000], [0.500, 0.500, 0.000], [0.118, 0.382, 0.000], [0.680, 0.820, 0.500], [0.820, 0.320, 0.500], [0.000, 0.000, 0.000], [0.320, 0.180, 0.500], [0.382, 0.882, 0.000], [0.180, 0.680, 0.500]]
}

{
  "formula": "ScZnTc4",
  "functional": "PBE",
  "state": "optimized geometry",
  "space_group": "F-43m, No. 216",
  "e_form_ev_per_atom": 0.03,
  "cell": [[-3.458, -3.244, 2.095], [-4.394, -1.088, -2.525], [-0.713, -4.706, -2.052]],
  "species": ["Tc", "Zn", "Sc", "Tc", "Tc", "Tc"],
  "frac_coords": [[0.624, 0.624, 0.127], [0.250, 0.250, 0.250], [0.000, 0.000, 0.000], [0.624, 0.127, 0.624], [0.127, 0.624, 0.624], [0.624, 0.624, 0.624]]
}